# 1
Material: Ta2TcOs
Method: DFT, PBE-GGA
State: relaxed

abc: 4.971 8.101 6.602
angles: 90.00 90.00 90.00
Fractional positions:
Ta1 0.250 0.055 0.085
Ta2 0.250 0.445 0.085
Ta3 0.250 0.555 0.585
Ta4 0.250 0.945 0.585
Ta5 0.750 0.055 0.415
Ta6 0.750 0.445 0.415
Ta7 0.750 0.555 0.915
Ta8 0.750 0.945 0.915
Tc1 0.001 0.250 0.750
Tc2 0.499 0.750 0.250
Tc3 0.501 0.250 0.750
Tc4 0.999 0.750 0.250
Os1 0.249 0.750 0.890
Os2 0.251 0.250 0.390
Os3 0.749 0.750 0.610
Os4 0.751 0.250 0.110

* calculated formation energy: -0.721 eV per formula unit
* space-group type: Pnma

=====

# 2
Material: CdTePbO
Method: DFT, PBE-GGA
State: relaxed

abc: 6.551 8.478 14.408
angles: 90.00 90.00 90.00
Fractional positions:
Cd1 0.050 0.122 0.229
Cd2 0.050 0.378 0.729
Cd3 0.450 0.622 0.229
Cd4 0.450 0.878 0.729
Cd5 0.550 0.122 0.271
Cd6 0.550 0.378 0.771
Cd7 0.950 0.622 0.271
Cd8 0.950 0.878 0.771
Te1 0.242 0.124 0.617
Te2 0.242 0.376 0.117
Te3 0.258 0.624 0.617
Te4 0.258 0.876 0.117
Te5 0.742 0.124 0.883
Te6 0.742 0.376 0.383
Te7 0.758 0.624 0.883
Te8 0.758 0.876 0.383
Pb1 0.249 0.626 0.931
Pb2 0.249 0.874 0.431
Pb3 0.251 0.126 0.931
Pb4 0.251 0.374 0.431
Pb5 0.749 0.626 0.569
Pb6 0.749 0.874 0.069
Pb7 0.751 0.126 0.569
Pb8 0.751 0.374 0.069
O1 0.240 0.624 0.345
O2 0.240 0.876 0.845
O3 0.260 0.124 0.345
O4 0.260 0.376 0.845
O5 0.740 0.624 0.155
O6 0.740 0.876 0.655
O7 0.760 0.124 0.155
O8 0.760 0.376 0.655

* distance to the lowest polymorph of the same formula: 1.87 kJ per mole of atoms
* space-group type: Pbca

=====

# 3
Material: Nb4PbC2S
Method: DFT, PBE-GGA
State: relaxed

abc: 3.317 3.317 12.916
angles: 90.00 90.00 120.00
Fractional positions:
Nb1 0.000 0.000 0.138
Nb2 0.000 0.000 0.862
Nb3 0.667 0.333 0.311
Nb4 0.667 0.333 0.689
Pb1 0.000 0.000 0.500
C1 0.333 0.667 0.228
C2 0.333 0.667 0.772
S1 0.667 0.333 0.000

* E: -8.858 eV/atom
* space-group type: P-6m2

=====

# 4
Material: Te2Pd3Cl2O6
Method: DFT, PBE-GGA
State: relaxed

abc: 5.704 5.704 7.977
angles: 104.70 104.70 68.44
Fractional positions:
Te1 0.177 0.177 0.217
Te2 0.823 0.823 0.783
Pd1 0.000 0.000 0.500
Pd2 0.378 0.378 0.643
Pd3 0.622 0.622 0.357
Cl1 0.314 0.314 0.901
Cl2 0.686 0.686 0.099
O1 0.107 0.723 0.658
O2 0.277 0.893 0.342
O3 0.370 0.370 0.377
O4 0.630 0.630 0.623
O5 0.723 0.107 0.658
O6 0.893 0.277 0.342

* E: -4.780 eV/atom
* space-group type: C2/m